# LaTm2Sc | Alexandria | PBE | relaxed
data_LaTm2Sc
_chemical_formula_sum 'La3 Tm6 Sc3'
_space_group_name_H-M_alt 'R -3 m'
_space_group_IT_number 166
_space_group_name_Hall '-R 3 2"'
_cell_length_a 3.5064
_cell_length_b 3.5064
_cell_length_c 33.9570
_cell_angle_alpha 90.00
_cell_angle_beta 90.00
_cell_angle_gamma 120.00
loop_
_atom_site_label
_atom_site_fract_x
_atom_site_fract_y
_atom_site_fract_z
La1 0.0000 0.0000 0.0000
Tm1 0.0000 0.0000 0.2453
Sc1 0.0000 0.0000 0.5000
# - Excess energy over the best structure of this formula in the dataset: 15 meV per atom
# - E: -5.00 eV/atom
# - Density: 7.19 Mg/m³
# - DOS(E_F): 16.854 states/eV/cell



# LaTmSc | Alexandria | PBE | relaxed
data_LaTmSc
_chemical_formula_sum 'La4 Tm4 Sc4'
_space_group_name_H-M_alt 'I m m m'
_space_group_IT_number 71
_space_group_name_Hall '-I 2 2'
_cell_length_a 3.2785
_cell_length_b 6.2976
_cell_length_c 17.7692
_cell_angle_alpha 90.00
_cell_angle_beta 90.00
_cell_angle_gamma 90.00
loop_
_atom_site_label
_atom_site_fract_x
_atom_site_fract_y
_atom_site_fract_z
La1 0.0000 0.2435 0.0000
Tm1 0.0000 0.5000 0.3358
Sc1 0.0000 0.5000 0.1572
# - Excess energy over the best structure of this formula in the dataset: 256 meV per atom
# - E: -4.93 eV/atom
# - Density: 6.39 Mg/m³
# - DOS(E_F): 24.189 states/eV/cell



# La2Tm8Sc | Alexandria | PBE | relaxed
data_La2Tm8Sc
_chemical_formula_sum 'La4 Tm16 Sc2'
_space_group_name_H-M_alt 'C 1 2/m 1'
_space_group_IT_number 12
_cell_length_a 17.9571
_cell_length_b 4.9719
_cell_length_c 7.8644
_cell_angle_alpha 90.00
_cell_angle_beta 105.17
_cell_angle_gamma 90.00
loop_
_space_group_symop_operation_xyz
'x,y,z'
'-x,-y,-z'
'-x,y,-z'
'x,-y,z'
'x+1/2,y+1/2,z'
'-x+1/2,-y+1/2,-z'
'-x+1/2,y+1/2,-z'
'x+1/2,-y+1/2,z'
loop_
_atom_site_label
_atom_site_fract_x
_atom_site_fract_y
_atom_site_fract_z
La1 0.2265 0.0000 0.1374
Tm1 0.0431 0.0000 0.2298
Tm2 0.0876 0.5000 0.9482
Tm3 0.1321 0.0000 0.6718
Tm4 0.1788 0.5000 0.4070
Sc1 0.0000 0.5000 0.5000
# - E: -4.68 eV/atom
# - Density: 8.21 Mg/m³
# - DOS(E_F): 35.525 states/eV/cell



# LaTmSc2 | Alexandria | PBE | relaxed
data_LaTmSc2
_chemical_formula_sum 'La4 Tm4 Sc8'
_space_group_name_H-M_alt 'F m -3 m'
_space_group_IT_number 225
_space_group_name_Hall '-F 4 2 3'
_cell_length_a 7.7326
_cell_length_b 7.7326
_cell_length_c 7.7326
_cell_angle_alpha 90.00
_cell_angle_beta 90.00
_cell_angle_gamma 90.00
loop_
_atom_site_label
_atom_site_fract_x
_atom_site_fract_y
_atom_site_fract_z
La1 0.0000 0.0000 0.0000
Tm1 0.0000 0.0000 0.5000
Sc1 0.2500 0.2500 0.2500
# - Excess energy over the best structure of this formula in the dataset: 21 meV per atom
# - E: -5.44 eV/atom
# - Density: 5.71 Mg/m³
# - DOS(E_F): 19.207 states/eV/cell



# La2Tm7Sc2 | Alexandria | PBE | relaxed
data_La2Tm7Sc2
_chemical_formula_sum 'La4 Tm14 Sc4'
_space_group_name_H-M_alt 'I m m 2'
_space_group_IT_number 44
_cell_length_a 3.5131
_cell_length_b 17.1464
_cell_length_c 11.4822
_cell_angle_alpha 90.00
_cell_angle_beta 90.00
_cell_angle_gamma 90.00
loop_
_space_group_symop_operation_xyz
'x,y,z'
'-x,-y,z'
'-x,y,z'
'x,-y,z'
'x+1/2,y+1/2,z+1/2'
'-x+1/2,-y+1/2,z+1/2'
'-x+1/2,y+1/2,z+1/2'
'x+1/2,-y+1/2,z+1/2'
loop_
_atom_site_label
_atom_site_fract_x
_atom_site_fract_y
_atom_site_fract_z
La1 0.0000 0.2065 0.0000
Tm1 0.0000 0.0000 0.9171
Tm2 0.0000 0.1074 0.4912
Tm3 0.0000 0.3327 0.2447
Tm4 0.0000 0.3370 0.7538
Sc1 0.0000 0.0000 0.2228
Sc2 0.0000 0.5000 0.1713
# - E: -4.70 eV/atom
# - Density: 7.44 Mg/m³
# - DOS(E_F): 36.563 states/eV/cell



# LaTm6Sc2 | Alexandria | PBE | relaxed
data_LaTm6Sc2
_chemical_formula_sum 'La4 Tm24 Sc8'
_space_group_name_H-M_alt 'C 1 2/c 1'
_space_group_IT_number 15
_cell_length_a 12.0682
_cell_length_b 14.3078
_cell_length_c 6.3657
_cell_angle_alpha 90.00
_cell_angle_beta 102.04
_cell_angle_gamma 90.00
loop_
_space_group_symop_operation_xyz
'x,y,z'
'-x,-y,-z'
'-x,y,-z+1/2'
'x,-y,z+1/2'
'x+1/2,y+1/2,z'
'-x+1/2,-y+1/2,-z'
'-x+1/2,y+1/2,-z+1/2'
'x+1/2,-y+1/2,z+1/2'
loop_
_atom_site_label
_atom_site_fract_x
_atom_site_fract_y
_atom_site_fract_z
La1 0.0000 0.0964 0.2500
Tm1 0.0495 0.3117 0.0180
Tm2 0.1574 0.1031 0.8072
Tm3 0.2352 0.3216 0.6896
Sc1 0.1273 0.4857 0.3598
# - Excess energy over the best structure of this formula in the dataset: 61 meV per atom
# - E: -4.83 eV/atom
# - Density: 7.68 Mg/m³
# - DOS(E_F): 54.850 states/eV/cell